1.
Entry from Alexandria: a relaxed CrTcOs2 crystal (PBE).

Calculated values
- space group = P4mm
- offset from the most stable computed form (meV per atom) = 61
- formation energy from the elements (eV/atom) = 0.135
- final energy (eV for the cell shown) = -41.9

a b c (Å): 2.708 2.708 7.564
angles (deg): 90.00 90.00 90.00
Atoms (fractional coordinates):
Os 0.500 0.500 0.250
Os 0.000 0.000 0.988
Cr 0.500 0.500 0.755
Tc 0.000 0.000 0.506

***

2.
Entry from Alexandria: a relaxed CrTcOs2 crystal (PBE).

Calculated values
- space group = P4/mmm
- offset from the most stable computed form (meV per atom) = 0
- formation energy from the elements (eV/atom) = 0.074
- final energy (eV for the cell shown) = -42.2

a b c (Å): 2.706 2.706 7.550
angles (deg): 90.00 90.00 90.00
Atoms (fractional coordinates):
Cr 0.500 0.500 0.750
Tc 0.500 0.500 0.250
Os 0.000 0.000 0.512
Os 0.000 0.000 0.988

***

3.
Entry from Alexandria: a relaxed CrTc2Os crystal (PBE).

Calculated values
- space group = Pm
- offset from the most stable computed form (meV per atom) = 5
- formation energy from the elements (eV/atom) = 0.105
- final energy (eV for the cell shown) = -41.2

a b c (Å): 4.102 2.713 5.194
angles (deg): 74.85 90.00 90.00
Atoms (fractional coordinates):
Tc 0.500 0.420 0.257
Tc 0.000 0.044 0.006
Os 0.500 0.696 0.730
Cr 0.000 0.339 0.507

***

4.
Entry from Alexandria: a relaxed CrTcOs crystal (PBE).

Calculated values
- space group = I4mm
- offset from the most stable computed form (meV per atom) = 17
- formation energy from the elements (eV/atom) = 0.126
- final energy (eV for the cell shown) = -30.8

a b c (Å): 5.957 5.957 5.957
angles (deg): 153.84 153.84 37.34
Atoms (fractional coordinates):
Os 0.340 0.340 0.000
Tc 0.663 0.663 0.000
Cr 0.996 0.996 0.000

***

5.
Entry from Alexandria: a relaxed CrTc2Os crystal (PBE).

Calculated values
- space group = Cm
- offset from the most stable computed form (meV per atom) = 16
- formation energy from the elements (eV/atom) = 0.116
- final energy (eV for the cell shown) = -41.1

a b c (Å): 4.667 4.667 4.679
angles (deg): 80.06 80.06 33.84
Atoms (fractional coordinates):
Tc 0.754 0.754 0.744
Tc 0.998 0.998 0.004
Cr 0.502 0.502 0.494
Os 0.246 0.246 0.258

***

6.
Entry from Alexandria: a relaxed Cr2TcOs crystal (PBE).

Calculated values
- space group = Cmmm
- formation energy from the elements (eV/atom) = 0.152
- final energy (eV for the cell shown) = -40.2

a b c (Å): 4.545 4.545 2.686
angles (deg): 90.00 90.00 107.31
Atoms (fractional coordinates):
Tc 0.000 0.500 0.500
Os 0.500 0.000 0.500
Cr 0.500 0.500 0.000
Cr 0.000 0.000 0.000

***

7.
Entry from Alexandria: a relaxed CrTcOs2 crystal (PBE).

Calculated values
- space group = Cm
- offset from the most stable computed form (meV per atom) = 39
- formation energy from the elements (eV/atom) = 0.112
- final energy (eV for the cell shown) = -42.0

a b c (Å): 4.671 4.671 4.666
angles (deg): 80.34 80.34 33.72
Each line ends with the local moment (μB).
Atoms (fractional coordinates):
Cr 0.253 0.253 0.245  0.51
Tc 0.499 0.499 0.499  -0.03
Os 0.999 0.999 0.004  -0.03
Os 0.749 0.749 0.752  -0.02

***

8.
Entry from Alexandria: a relaxed CrTcOs2 crystal (PBE).

Calculated values
- space group = R3m
- offset from the most stable computed form (meV per atom) = 357
- formation energy from the elements (eV/atom) = 0.430
- final energy (eV for the cell shown) = -40.7

a b c (Å): 4.081 4.081 4.891
angles (deg): 65.34 65.34 60.00
Atoms (fractional coordinates):
Cr 0.673 0.673 0.981
Tc 0.484 0.484 0.549
Os 0.273 0.273 0.181
Os 0.071 0.071 0.788

***

9.
Entry from Alexandria: a relaxed CrTc2Os crystal (PBE).

Calculated values
- space group = Pmm2
- offset from the most stable computed form (meV per atom) = 10
- formation energy from the elements (eV/atom) = 0.110
- final energy (eV for the cell shown) = -41.1

a b c (Å): 2.710 3.789 5.430
angles (deg): 90.00 90.00 90.00
Atoms (fractional coordinates):
Cr 0.000 0.000 0.504
Tc 0.000 0.000 0.999
Tc 0.500 0.500 0.259
Os 0.500 0.500 0.737

***

10.
Entry from Alexandria: a relaxed CrTc2Os crystal (PBE).

Calculated values
- space group = F-43m
- offset from the most stable computed form (meV per atom) = 192
- formation energy from the elements (eV/atom) = 0.292
- final energy (eV for the cell shown) = -40.4

a b c (Å): 4.296 4.296 4.296
angles (deg): 60.00 60.00 60.00
Atoms (fractional coordinates):
Tc 0.000 0.000 0.000
Tc 0.750 0.750 0.750
Os 0.250 0.250 0.250
Cr 0.500 0.500 0.500

***

11.
Entry from Alexandria: a relaxed CrTc4Os crystal (PBE).

Calculated values
- space group = F-43m
- formation energy from the elements (eV/atom) = 0.421
- final energy (eV for the cell shown) = -59.8

a b c (Å): 5.021 5.021 5.021
angles (deg): 60.00 60.00 60.00
Each line ends with the local moment (μB).
Atoms (fractional coordinates):
Os 0.000 0.000 0.000  -0.14
Tc 0.375 0.874 0.375  -0.12
Tc 0.874 0.375 0.375  -0.12
Tc 0.375 0.375 0.375  -0.12
Tc 0.375 0.375 0.874  -0.12
Cr 0.750 0.750 0.750  0.99

***

12.
Entry from Alexandria: a relaxed CrTcOs2 crystal (PBE).

Calculated values
- space group = Cmmm
- offset from the most stable computed form (meV per atom) = 25
- formation energy from the elements (eV/atom) = 0.099
- final energy (eV for the cell shown) = -42.1

a b c (Å): 4.666 4.666 2.708
angles (deg): 90.00 90.00 109.44
Each line ends with the local moment (μB).
Atoms (fractional coordinates):
Os 0.000 0.000 0.000  -0.01
Os 0.500 0.500 0.000  -0.01
Tc 0.500 0.000 0.500  -0.01
Cr 0.000 0.500 0.500  0.11